# Ba2MoClO4

A geometry-optimized Ba2MoClO4 structure (PBE with a Hubbard U, Alexandria via LeMat-Bulk).

abc: 10.243 3.483 10.119
angles: 90.00 112.90 90.00
Space group C2/m (No. 12)
One atom of each set of equivalent atoms:
Ba 0.169 0.000 0.270 (multiplicity 4)
Mo 0.000 0.000 0.500 (multiplicity 2)
Cl 0.000 0.500 0.000 (multiplicity 2)
O 0.105 0.500 0.458 (multiplicity 4)
O 0.129 0.000 0.692 (multiplicity 4)

Output
raw total energy: -6.273 eV per atom